# 1
Ba2LiRh: relaxed, GGA-PBE. Values from VASP.

* ΔE_f: 0.17 eV/atom
* calculated total energy: -3.112 eV/atom
* symmetry: I-4m2 (119)

```
&SYSTEM
  ibrav = 0, nat = 4, ntyp = 3
/
ATOMIC_SPECIES
Ba 137.33 Ba.upf
Li 6.94 Li.upf
Rh 102.91 Rh.upf
CELL_PARAMETERS angstrom
-0.264 3.023 -5.328
-5.758 0.694 -1.992
2.783 1.103 5.352
ATOMIC_POSITIONS angstrom
Ba 0.000 0.000 0.000
Ba -2.993 1.828 -0.150
Li -3.011 1.859 -3.660
Rh -0.246 2.993 -1.818
```

# 2
NaSr2Re: relaxed, GGA-PBE. Values from VASP.

* ΔE_f: 1.50 eV/atom
* calculated total energy: -2.786 eV/atom
* symmetry: I-42d (122)
* relative energy among the computed polymorphs: 0.620 eV per atom

```
&SYSTEM
  ibrav = 0, nat = 8, ntyp = 3
/
ATOMIC_SPECIES
Na 22.99 Na.upf
Re 186.21 Re.upf
Sr 87.62 Sr.upf
CELL_PARAMETERS angstrom
-7.182 2.651 3.991
3.378 -2.298 7.605
0.510 5.776 6.419
ATOMIC_POSITIONS angstrom
Na -1.902 0.176 5.798
Na 0.993 1.827 9.911
Re 0.000 0.000 0.000
Re -4.287 4.302 8.104
Sr -1.876 5.031 7.288
Sr -4.071 2.336 9.864
Sr -5.491 6.372 9.230
Sr -5.709 3.467 6.033
```

# 3
TaCdCoRu: relaxed, GGA-PBE. Values from VASP.

* ΔE_f: -0.02 eV/atom
* calculated total energy: -7.306 eV/atom
* symmetry: F-43m (216)

```
&SYSTEM
  ibrav = 0, nat = 4, ntyp = 4
/
ATOMIC_SPECIES
Ta 180.95 Ta.upf
Co 58.93 Co.upf
Cd 112.41 Cd.upf
Ru 101.07 Ru.upf
CELL_PARAMETERS angstrom
4.422 0.000 0.000
2.211 3.830 0.000
2.211 1.277 3.611
ATOMIC_POSITIONS angstrom
Ta 0.000 0.000 0.000
Co 2.211 1.277 0.903
Cd 4.422 2.553 1.805
Ru 6.633 3.830 2.708
```

# 4
ErBi2S4: relaxed, GGA-PBE. Values from VASP.

* calculated total energy: -4.955 eV/atom
* E_form (uncorrected): -0.836 eV/atom
* symmetry: Pbam (55)

```
&SYSTEM
  ibrav = 0, nat = 14, ntyp = 3
/
ATOMIC_SPECIES
Bi 208.98 Bi.upf
S 32.06 S.upf
Er 167.26 Er.upf
CELL_PARAMETERS angstrom
-3.094 -2.281 -0.219
2.081 -2.184 -6.670
6.648 -9.515 5.190
ATOMIC_POSITIONS angstrom
Bi 5.910 -11.102 -1.714
Bi -0.275 -2.878 0.016
Bi 1.981 -5.710 -2.370
Bi 3.654 -8.270 0.672
S 4.943 -6.978 2.851
S 3.787 -4.721 -4.331
S 2.038 -6.071 0.597
S 3.597 -7.909 -2.295
S 0.283 -3.161 -4.920
S 5.352 -10.818 3.222
S 2.154 -2.782 -1.458
S 6.576 -8.917 -0.021
Er 1.041 -1.092 -3.335
Er 3.324 -4.757 2.595
```

# 5
HgHRu3: relaxed, GGA-PBE. Values from VASP.

* calculated total energy: -3.436 eV/atom
* symmetry: Pm-3m (221)
* relative energy among the computed polymorphs: 2.386 eV per atom

```
&SYSTEM
  ibrav = 0, nat = 5, ntyp = 3
/
ATOMIC_SPECIES
H 1.01 H.upf
Hg 200.59 Hg.upf
Ru 101.07 Ru.upf
CELL_PARAMETERS angstrom
5.057 0.000 0.000
0.000 5.057 0.000
0.000 0.000 5.057
ATOMIC_POSITIONS angstrom
H 2.528 2.528 2.528
Hg 0.000 0.000 0.000
Ru 0.000 2.528 0.000
Ru 0.000 0.000 2.528
Ru 2.528 0.000 0.000
```

# 6
PrSbAu4: relaxed, GGA-PBE. Values from VASP.

* calculated total energy: -4.091 eV/atom
* E_form (uncorrected): -0.423 eV/atom
* symmetry: F-43m (216)

```
&SYSTEM
  ibrav = 0, nat = 6, ntyp = 3
/
ATOMIC_SPECIES
Au 196.97 Au.upf
Sb 121.76 Sb.upf
Pr 140.91 Pr.upf
CELL_PARAMETERS angstrom
5.716 0.000 0.000
2.858 4.950 0.000
2.858 1.650 4.667
ATOMIC_POSITIONS angstrom
Au 7.145 4.125 2.917
Au 5.716 1.650 2.917
Au 5.716 3.300 0.584
Au 4.287 4.125 2.917
Sb 0.000 0.000 0.000
Pr 2.858 1.650 1.167
```